Material: LiTc2PbO8
Method: DFT, PBE
State: relaxed

For the uncorrected formation energy, the calculation gives -141.3 kJ per mole of atoms. The total energy is -167.19 eV/cell.

The structure belongs to space group C2/m (No. 12); the cell edges are 9.124, 6.002 and 7.323 Å and the angles 90.00°, 91.49° and 90.00°. Symmetry generates all atoms from Li at (0.000, 0.000, 0.000), Tc at (0.142, 0.500, 0.772), Pb at (0.000, 0.000, 0.500), O at (0.031, 0.256, 0.779), O at (0.223, 0.000, 0.056) and O at (0.227, 0.500, 0.558).

Material: LiTcPbO4
Method: DFT, PBE
State: relaxed

For the uncorrected formation energy, the calculation gives -133.7 kJ per mole of atoms. The total energy is -91.04 eV/cell.

The structure belongs to space group P2_1/m (No. 11); the cell edges are 6.034, 5.659 and 7.386 Å and the angles 90.00°, 110.51° and 90.00°. Symmetry generates all atoms from Li at (0.097, 0.250, 0.374), Tc at (0.302, 0.750, 0.393), Pb at (0.215, 0.250, 0.992), O at (0.109, 0.524, 0.205), O at (0.207, 0.750, 0.591) and O at (0.404, 0.250, 0.602).

Material: Li2TcPbO6
Method: DFT, PBE
State: relaxed

For the uncorrected formation energy, the calculation gives -130.1 kJ per mole of atoms. The total energy is -244.56 eV/cell.

The structure belongs to space group C2/c (No. 15); the cell edges are 11.277, 10.078 and 7.162 Å and the angles 90.00°, 122.54° and 90.00°. Symmetry generates all atoms from Li at (0.172, 0.037, 0.128), Tc at (0.000, 0.330, 0.750), Pb at (0.000, 0.239, 0.250), O at (0.094, 0.230, 0.985), O at (0.115, 0.428, 0.719) and O at (0.133, 0.063, 0.369).

Material: Li2TcPb3O6
Method: DFT, PBE
State: relaxed

For the uncorrected formation energy, the calculation gives -118.9 kJ per mole of atoms. The total energy is -69.86 eV/cell.

The structure belongs to space group P-3m1 (No. 164); the cell edges are 5.8259, 5.8259 and 6.3150 Å and the angles 90.00°, 90.00° and 120.00°. Symmetry generates all atoms from Li at (0.3333, 0.6667, 0.1845), Tc at (0.0000, 0.0000, 0.5000), Pb at (0.0000, 0.0000, 0.0000), Pb at (0.3333, 0.6667, 0.6118) and O at (0.1648, 0.3295, 0.3166).

Material: LiTcPbO5
Method: DFT, PBE
State: relaxed

For the uncorrected formation energy, the calculation gives -130.0 kJ per mole of atoms. The total energy is -206.24 eV/cell.

The structure belongs to space group C2/c (No. 15); the cell edges are 9.045, 8.936 and 8.412 Å and the angles 90.00°, 117.10° and 90.00°. Symmetry generates all atoms from Li at (0.000, 0.206, 0.250), Tc at (0.000, 0.104, 0.750), Pb at (0.000, 0.500, 0.000), O at (0.000, 0.415, 0.250), O at (0.004, 0.215, 0.925) and O at (0.171, 0.020, 0.329).

Material: LiTePbO4
Method: DFT, PBE
State: relaxed

For the uncorrected formation energy, the calculation gives -104.7 kJ per mole of atoms. The total energy is -72.39 eV/cell.

The structure belongs to space group P2_1/m (No. 11); the cell edges are 6.217, 5.875 and 6.366 Å and the angles 90.00°, 102.10° and 90.00°. Symmetry generates all atoms from Li at (0.126, 0.250, 0.469), Te at (0.282, 0.750, 0.359), Pb at (0.246, 0.250, 0.031), O at (0.058, 0.513, 0.272), O at (0.394, 0.750, 0.108) and O at (0.433, 0.250, 0.427).

Material: LiTe2PbO6
Method: DFT, PBE
State: relaxed

For the uncorrected formation energy, the calculation gives -112.7 kJ per mole of atoms. The total energy is -213.35 eV/cell.

The structure belongs to space group C2/c (No. 15); the cell edges are 11.696, 8.623 and 7.627 Å and the angles 90.00°, 124.19° and 90.00°. Symmetry generates all atoms from Li at (0.000, 0.214, 0.250), Te at (0.196, 0.492, 0.685), Pb at (0.000, 0.186, 0.750), O at (0.077, 0.325, 0.527), O at (0.127, 0.088, 0.200) and O at (0.180, 0.408, 0.936).

Material: Li2TePbO6
Method: DFT, PBE
State: relaxed

For the uncorrected formation energy, the calculation gives -126.8 kJ per mole of atoms. The total energy is -160.69 eV/cell.

The structure belongs to space group R3 (No. 146, hexagonal axes); the cell edges are 5.2989, 5.2989 and 14.1295 Å and the angles 90.00°, 90.00° and 120.00°. Symmetry generates all atoms from Li at (0.0000, 0.0000, 0.0000), Li at (0.0000, 0.0000, 0.4910), Te at (0.0000, 0.0000, 0.7039), Pb at (0.0000, 0.0000, 0.2113), O at (0.0044, 0.3612, 0.4395) and O at (0.0068, 0.7140, 0.6153).